No. 1
First-principles (GGA-PBE) data for Ca2NiAu after structural relaxation, as listed in Alexandria via LeMat-Bulk.

Cell lengths 6.960, 6.960, 6.960 Å; angles 90.00, 90.00, 90.00 degrees
Space group F-43m (No. 216)
Inequivalent atoms, fractional coordinates:
Ca1 0.000 0.000 0.000 [4 per cell]
Ca2 0.250 0.250 0.250 [4 per cell]
Ni1 0.250 0.250 0.750 [4 per cell]
Au1 0.000 0.000 0.500 [4 per cell]

Calculated values
The total energy comes out at -3.385 eV per atom. For the total magnetization, the calculation gives 0.00 Bohr magnetons per cell. Its energy of formation is -120 meV/atom.

=====

No. 2
First-principles (GGA-PBE) data for CaNiAu2 after structural relaxation, as listed in Alexandria via LeMat-Bulk.

Cell lengths 3.479, 3.676, 6.007 Å; angles 90.00, 90.00, 90.00 degrees
Space group Pmm2 (No. 25)
Inequivalent atoms, fractional coordinates:
Ca1 0.000 0.000 0.000 [1 per cell]
Ni1 0.500 0.500 0.301 [1 per cell]
Au1 0.000 0.000 0.469 [1 per cell]
Au2 0.500 0.500 0.737 [1 per cell]

Calculated values
The total energy comes out at -3.800 eV per atom. For the total magnetization, the calculation gives 0.00 Bohr magnetons per cell. Its energy of formation is -215 meV/atom.

=====

No. 3
First-principles (GGA-PBE) data for CaNiAu2 after structural relaxation, as listed in Alexandria via LeMat-Bulk.

Cell lengths 4.219, 4.219, 4.084 Å; angles 90.00, 90.00, 90.00 degrees
Space group P4/mmm (No. 123)
Inequivalent atoms, fractional coordinates:
Ca1 0.000 0.000 0.000 [1 per cell]
Ni1 0.500 0.500 0.000 [1 per cell]
Au1 0.000 0.500 0.500 [2 per cell]

Calculated values
The total energy comes out at -3.888 eV per atom. For the total magnetization, the calculation gives 0.00 Bohr magnetons per cell. Its energy of formation is -304 meV/atom.

=====

No. 4
First-principles (GGA-PBE) data for Ca2Ni2Au after structural relaxation, as listed in Alexandria via LeMat-Bulk.

Cell lengths 6.866, 6.866, 4.174 Å; angles 90.00, 90.00, 90.00 degrees
Space group P4/mbm (No. 127)
Inequivalent atoms, fractional coordinates:
Ca1 0.180 0.320 0.000 [4 per cell]
Ni1 0.121 0.621 0.500 [4 per cell]
Au1 0.000 0.000 0.500 [2 per cell]

Calculated values
The total energy comes out at -4.065 eV per atom. The calculation puts the offset from the most stable computed form at 0.000 eV per atom. For the total magnetization, the calculation gives 0.00 Bohr magnetons per cell. Its energy of formation is -296 meV/atom.

=====

No. 5
First-principles (GGA-PBE) data for CaNi2Au2 after structural relaxation, as listed in Alexandria via LeMat-Bulk.

Cell lengths 3.796, 3.796, 12.708 Å; angles 90.00, 90.00, 90.00 degrees
Space group I4/mmm (No. 139)
Inequivalent atoms, fractional coordinates:
Ca1 0.000 0.000 0.000 [2 per cell]
Ni1 0.000 0.500 0.250 [4 per cell]
Au1 0.000 0.000 0.391 [4 per cell]

Calculated values
The total energy comes out at -4.203 eV per atom. The calculation puts the offset from the most stable computed form at 0.015 eV per atom. For the total magnetization, the calculation gives 0.00 Bohr magnetons per cell. Its energy of formation is -179 meV/atom.

=====

No. 6
First-principles (GGA-PBE) data for CaNi2Au after structural relaxation, as listed in Alexandria via LeMat-Bulk.

Cell lengths 3.0031, 3.0031, 25.8842 Å; angles 90.00, 90.00, 120.00 degrees
Space group R-3m (No. 166, hexagonal axes)
Inequivalent atoms, fractional coordinates:
Ca1 0.0000 0.0000 0.0000 [3 per cell]
Ni1 0.0000 0.0000 0.2462 [6 per cell]
Au1 0.0000 0.0000 0.5000 [3 per cell]

Calculated values
The total energy comes out at -3.807 eV per atom. For the total magnetization, the calculation gives 0.00 Bohr magnetons per cell. Its energy of formation is 404 meV/atom.

=====

No. 7
First-principles (GGA-PBE) data for Ca2NiAu after structural relaxation, as listed in Alexandria via LeMat-Bulk.

Cell lengths 3.734, 4.539, 10.986 Å; angles 90.00, 90.00, 90.00 degrees
Space group Imm2 (No. 44)
Inequivalent atoms, fractional coordinates:
Ca1 0.000 0.000 0.000 [2 per cell]
Ca2 0.000 0.500 0.219 [2 per cell]
Ni1 0.000 0.500 0.767 [2 per cell]
Au1 0.000 0.000 0.432 [2 per cell]

Calculated values
The total energy comes out at -3.574 eV per atom. For the total magnetization, the calculation gives 0.00 Bohr magnetons per cell. Its energy of formation is -309 meV/atom.

=====

No. 8
First-principles (GGA-PBE) data for CaNiAu2 after structural relaxation, as listed in Alexandria via LeMat-Bulk.

Cell lengths 9.580, 3.914, 4.492 Å; angles 90.00, 117.72, 90.00 degrees
Space group C2/m (No. 12)
Inequivalent atoms, fractional coordinates:
Ca1 0.000 0.000 0.000 [2 per cell]
Ni1 0.000 0.500 0.500 [2 per cell]
Au1 0.226 0.000 0.725 [4 per cell]

Calculated values
The total energy comes out at -3.861 eV per atom. For the total magnetization, the calculation gives 0.00 Bohr magnetons per cell. Its energy of formation is -277 meV/atom.

=====

- What is the energy of formation in the second record?
  -215 meV/atom